# 1
The following is a PBE-GGA calculation of Ca7Cd2Rh after structural relaxation, from Alexandria.

The space group is C2/c (No. 15) and the conventional cell measures 17.396, 8.573 and 10.651 Å, with angles of 90.00, 127.14 and 90.00 degrees. The inequivalent atoms are Ca at (0.000, 0.106, 0.250), Ca at (0.084, 0.340, 0.572), Ca at (0.131, 0.253, 0.966), Ca at (0.191, 0.387, 0.357), Cd at (0.184, 0.000, 0.265) and Rh at (0.000, 0.485, 0.250).

The spin magnetization comes out at 0.0 μB/f.u. The calculation puts the energy of formation from the pure elements at -0.24 eV/atom. The calculation puts the mass density at 3.191 g/cm3.

=====

# 2
The following is a PBE-GGA calculation of Tb3PrHg after structural relaxation, from Alexandria.

The space group is C2/m (No. 12) and the conventional cell measures 11.396, 7.440 and 8.007 Å, with angles of 90.00, 110.97 and 90.00 degrees. The inequivalent atoms are Tb at (0.061, 0.000, 0.244), Tb at (0.161, 0.249, 0.643), Pr at (0.057, 0.500, 0.236) and Hg at (0.237, 0.000, 0.000).

The spin magnetization comes out at 0.0 μB/f.u. The calculation puts the energy of formation from the pure elements at -0.10 eV/atom. Its energy above the lowest structure with this stoichiometry is 67 meV per atom. The calculation puts the mass density at 8.575 g/cm3.

=====

# 3
The following is a PBE-GGA calculation of YBeH2 after structural relaxation, from Alexandria.

The space group is Fm-3m (No. 225) and the conventional cell measures 5.470, 5.470 and 5.470 Å, with angles of 90.00, 90.00 and 90.00 degrees. The inequivalent atoms are Y at (0.000, 0.000, 0.000), Be at (0.000, 0.000, 0.500) and H at (0.250, 0.250, 0.250).

The spin magnetization comes out at 0.0 μB/f.u. Its energy above the lowest structure with this stoichiometry is 4 meV per atom. The calculation puts the mass density at 4.055 g/cm3.